Record 1
VASP calculation (SCAN) on LiScNi2Ru at its PBEsol-relaxed geometry.

Structure (POSCAR):
```
LiScNi2Ru
1.0
3.860 0.000 0.000
0.000 3.860 0.000
0.000 0.000 4.286
Li Ni Sc Ru
1 2 1 1
direct
0.000 0.000 0.000
0.000 0.500 0.000
0.500 0.000 0.000
0.000 0.000 0.500
0.500 0.500 0.500
```

- Space-group type: P4/mmm, No. 123
- DOS at the Fermi energy: 3.66 states/eV/cell
- Energy of formation: 598.4 meV per atom

***

Record 2
VASP calculation (SCAN) on Li3NiS at its PBEsol-relaxed geometry.

Structure (POSCAR):
```
Li3NiS
1.0
4.350 0.000 0.000
0.000 4.350 0.000
0.000 0.000 4.350
Li Ni S
3 1 1
direct
0.000 0.000 0.500
0.500 0.000 0.000
0.000 0.500 0.000
0.000 0.000 0.000
0.500 0.500 0.500
```

- E: -6.43 eV per atom
- Space-group type: Pm-3m, No. 221
- DOS at the Fermi energy: 5.68 states/eV/cell

***

Record 3
VASP calculation (SCAN) on LiNi2S2 at its PBEsol-relaxed geometry.

Structure (POSCAR):
```
LiNi2S2
1.0
-1.661 -5.232 -2.210
5.862 -0.413 -3.426
-0.168 -2.823 6.808
S Ni Li
8 8 4
direct
0.774 0.905 0.810
0.274 0.095 0.690
0.226 0.095 0.190
0.274 0.595 0.690
0.226 0.595 0.190
0.774 0.405 0.810
0.726 0.905 0.310
0.726 0.405 0.310
0.142 0.932 0.864
0.143 0.432 0.864
0.858 0.068 0.136
0.857 0.568 0.136
0.357 0.432 0.364
0.643 0.568 0.636
0.642 0.068 0.636
0.358 0.932 0.364
0.000 0.251 0.500
0.500 0.251 0.000
0.000 0.749 0.500
0.500 0.749 0.000
```

- Space-group type: P2_1/c, No. 14
- DOS at the Fermi energy: 9.67 states/eV/cell
- Energy above the most stable polymorph in this dataset: 0 kJ/mol of formula units

***

Record 4
VASP calculation (SCAN) on LiNi2S2 at its PBEsol-relaxed geometry.

Structure (POSCAR):
```
LiNi2S2
1.0
3.612 0.000 0.000
-1.806 3.128 0.000
0.000 0.000 6.038
S Ni Li
2 2 1
direct
0.333 0.667 0.741
0.667 0.333 0.259
0.667 0.333 0.629
0.333 0.667 0.371
0.000 0.000 0.000
```

- Space-group type: P-3m1, No. 164
- DOS at the Fermi energy: 3.92 states/eV/cell
- Energy above the most stable polymorph in this dataset: 18 kJ/mol of formula units

***

Record 5
VASP calculation (SCAN) on LiNiS2 at its PBEsol-relaxed geometry.

Structure (POSCAR):
```
LiNiS2
1.0
3.369 0.000 0.000
-1.684 2.917 0.000
0.000 0.000 5.702
S Li Ni
2 1 1
direct
0.333 0.667 0.710
0.667 0.333 0.290
0.000 0.000 0.000
0.000 0.000 0.500
```

- E: -10.25 eV per atom
- Space-group type: P-3m1, No. 164
- DOS at the Fermi energy: 1.63 states/eV/cell

***

Record 6
VASP calculation (SCAN) on LiNi3Sb at its PBEsol-relaxed geometry.

Structure (POSCAR):
```
LiNi3Sb
1.0
3.958 0.000 0.000
0.000 3.958 0.000
0.000 0.000 3.958
Sb Li Ni
1 1 3
direct
0.500 0.500 0.500
0.000 0.000 0.000
0.500 0.000 0.000
0.000 0.000 0.500
0.000 0.500 0.000
```

- E: -17.10 eV per atom
- Space-group type: Pm-3m, No. 221
- DOS at the Fermi energy: 4.81 states/eV/cell

***

Record 7
VASP calculation (SCAN) on LiNiSb at its PBEsol-relaxed geometry.

Structure (POSCAR):
```
LiNiSb
1.0
3.179 0.000 0.000
-1.590 2.753 0.000
0.000 0.000 6.124
Ni Sb Li
1 1 1
direct
0.333 0.667 0.649
0.667 0.333 0.374
0.000 0.000 0.976
```

- E: -18.55 eV per atom
- Space-group type: P3m1, No. 156
- DOS at the Fermi energy: 0.79 states/eV/cell

***

Record 8
VASP calculation (SCAN) on Li2NiSb at its PBEsol-relaxed geometry.

Structure (POSCAR):
```
Li2NiSb
1.0
4.816 0.000 0.000
2.408 5.281 0.000
2.408 0.000 5.281
Sb Ni Li
2 2 4
direct
0.750 0.500 0.500
0.000 0.000 0.000
0.250 0.500 0.500
0.500 0.000 0.000
0.175 0.950 0.450
0.875 0.550 0.950
0.575 0.050 0.550
0.375 0.450 0.050
```

- E: -14.58 eV per atom
- Space-group type: I-42d, No. 122
- DOS at the Fermi energy: 4.22 states/eV/cell

***

Record 9
VASP calculation (SCAN) on LiSc2Ni2 at its PBEsol-relaxed geometry.

Structure (POSCAR):
```
LiSc2Ni2
1.0
-3.000 -1.208 0.533
2.322 -6.432 -1.508
1.601 -1.003 6.743
Sc Ni Li
4 4 2
direct
0.500 0.164 0.664
0.500 0.664 0.836
0.500 0.336 0.164
0.500 0.836 0.336
0.000 0.629 0.129
0.000 0.129 0.371
0.000 0.871 0.629
0.000 0.371 0.871
0.000 0.000 0.000
0.000 0.500 0.500
```

- Space-group type: P4/mbm, No. 127
- DOS at the Fermi energy: 6.00 states/eV/cell
- Energy of formation: -326.6 meV per atom

***

Record 10
VASP calculation (SCAN) on LiScNi2 at its PBEsol-relaxed geometry.

Structure (POSCAR):
```
LiScNi2
1.0
2.865 0.000 0.000
1.433 2.481 0.000
1.433 0.827 7.843
Sc Ni Li
1 2 1
direct
0.500 0.500 0.500
0.250 0.250 0.250
0.750 0.750 0.750
0.000 0.000 0.000
```

- Space-group type: R-3m, No. 166
- DOS at the Fermi energy: 3.13 states/eV/cell
- Energy of formation: 129.8 meV per atom

***

Record 11
VASP calculation (SCAN) on LiScNi2 at its PBEsol-relaxed geometry.

Structure (POSCAR):
```
LiScNi2
1.0
-2.395 0.235 3.415
-1.288 -3.495 1.893
1.566 -1.055 3.727
Ni Sc Li
2 1 1
direct
0.000 0.000 0.000
0.750 0.750 0.750
0.250 0.250 0.250
0.500 0.500 0.500
```

- Space-group type: F-43m, No. 216
- DOS at the Fermi energy: 2.06 states/eV/cell
- Energy of formation: -152.8 meV per atom

***

Record 12
VASP calculation (SCAN) on Li2ScNiTe at its PBEsol-relaxed geometry.

Structure (POSCAR):
```
Li2ScNiTe
1.0
-4.293 1.130 -0.659
-1.178 -2.357 3.633
0.589 3.779 2.642
Li Sc Ni Te
2 1 1 1
direct
0.500 0.000 0.000
0.000 0.500 0.000
0.000 0.000 0.500
0.000 0.000 0.000
0.500 0.500 0.500
```

- E: -14.76 eV per atom
- Space-group type: P4/mmm, No. 123
- DOS at the Fermi energy: 1.65 states/eV/cell

***

Record 13
VASP calculation (SCAN) on Li2SiNi at its PBEsol-relaxed geometry.

Structure (POSCAR):
```
Li2SiNi
1.0
2.565 0.000 0.000
0.000 4.649 0.000
0.000 -2.325 4.050
Li Si Ni
2 1 1
direct
0.000 0.500 0.500
0.000 0.000 0.500
0.500 0.500 0.000
0.500 0.000 0.000
```

- E: -7.84 eV per atom
- Space-group type: Cmmm, No. 65
- DOS at the Fermi energy: 1.57 states/eV/cell

***

Record 14
VASP calculation (SCAN) on LiSi6Ni6 at its PBEsol-relaxed geometry.

Structure (POSCAR):
```
LiSi6Ni6
1.0
7.523 0.000 0.000
0.000 8.352 0.000
0.000 -4.176 7.233
Li Si Ni
3 18 18
direct
0.500 0.000 0.000
0.000 0.333 0.667
0.000 0.667 0.333
0.843 0.000 0.000
0.500 0.669 0.000
0.000 0.336 0.336
0.500 0.331 0.331
0.000 0.664 0.000
0.500 0.669 0.669
0.000 0.000 0.664
0.000 0.000 0.336
0.342 0.333 0.667
0.000 0.664 0.664
0.658 0.667 0.333
0.342 0.667 0.333
0.658 0.333 0.667
0.157 0.000 0.000
0.500 0.000 0.331
0.000 0.336 0.000
0.500 0.000 0.669
0.500 0.331 0.000
0.752 0.167 0.833
0.752 0.334 0.167
0.248 0.833 0.167
0.752 0.167 0.334
0.745 0.500 0.500
0.248 0.833 0.666
0.248 0.334 0.167
0.255 0.500 0.500
0.745 0.500 0.000
0.255 0.000 0.500
0.248 0.666 0.833
0.248 0.167 0.334
0.745 0.000 0.500
0.248 0.167 0.833
0.752 0.833 0.666
0.752 0.666 0.833
0.255 0.500 0.000
0.752 0.833 0.167
```

- E: -12.76 eV per atom
- Space-group type: P6/mmm, No. 191
- DOS at the Fermi energy: 9.70 states/eV/cell

***

Respective M_tot values: 1.66, 0.96, 0.00, 0.96, 1.00, 0.00, 0.00, 0.00, 0.00, 0.00, 0.00, 0.00, 0.00, 0.00 μB per formula unit.